# 1
VASP calculation (PBE-GGA) on a relaxed ScFe2Tc2 crystal.

As for the final energy: -87.0 eV/cell. The value obtained for the formation energy is 0.100 eV/atom. The total magnetic moment is 0.92 μB/f.u.

The space group is P4/mbm (No. 127) and the conventional cell measures 7.358, 7.358 and 2.636 Å, with angles of 90.00, 90.00 and 90.00 degrees. Symmetry generates all atoms from Sc at (0.000, 0.000, 0.000), Fe at (0.169, 0.331, 0.500) and Tc at (0.125, 0.625, 0.000).

=====

# 2
VASP calculation (PBE-GGA) on a relaxed Sm5MgRu3 crystal.

As for the final energy: -213.9 eV/cell. The value obtained for the formation energy is -0.050 eV/atom. The total magnetic moment is 0.00 μB/f.u.

The space group is C2/m (No. 12) and the conventional cell measures 12.330, 9.126 and 9.862 Å, with angles of 90.00, 111.73 and 90.00 degrees. Symmetry generates all atoms from Sm at (0.000, 0.205, 0.000), Sm at (0.047, 0.000, 0.357), Sm at (0.174, 0.306, 0.650), Sm at (0.233, 0.500, 0.043), Mg at (0.082, 0.500, 0.291), Ru at (0.000, 0.500, 0.000), Ru at (0.000, 0.500, 0.500), Ru at (0.162, 0.000, 0.164) and Ru at (0.182, 0.000, 0.649).

=====

# 3
VASP calculation (PBE-GGA) on a relaxed Li4InAg crystal.

As for the final energy: -55.3 eV/cell. The value obtained for the formation energy is -0.095 eV/atom. The total magnetic moment is 0.62 μB/f.u.

The space group is F-43m (No. 216) and the conventional cell measures 7.365, 7.365 and 7.365 Å, with angles of 90.00, 90.00 and 90.00 degrees. Symmetry generates all atoms from Li at (0.125, 0.125, 0.125), In at (0.000, 0.000, 0.500) and Ag at (0.250, 0.250, 0.750).

=====

# 4
VASP calculation (PBE-GGA) on a relaxed Nd2DyTl3Se6 crystal.

The calculation puts the uncorrected formation energy at -1380 meV per atom. As for the final energy: -117.4 eV/cell. The total magnetic moment is 0.00 μB/f.u.

The space group is C2/m (No. 12) and the conventional cell measures 7.415, 12.839 and 8.144 Å, with angles of 90.00, 107.66 and 90.00 degrees. Symmetry generates all atoms from Nd at (0.000, 0.167, 0.000), Dy at (0.000, 0.500, 0.000), Tl at (0.000, 0.000, 0.500), Tl at (0.000, 0.332, 0.500), Se at (0.232, 0.337, 0.208) and Se at (0.245, 0.000, 0.210).

=====

Question: Look up the total magnetic moment of the first one.
Answer: 0.92 μB/f.u.